Entry 1:
Computed, not measured: YBeW after structural relaxation at the PBE level of DFT.

a = 4.615 Å, b = 4.615 Å, c = 4.615 Å
α = 60.00°, β = 60.00°, γ = 60.00°
Fractional positions:
Be (0.250, 0.250, 0.250)
Y (0.000, 0.000, 0.000)
W (0.750, 0.750, 0.750)

Entry 2:
Computed, not measured: TlAs5Ir3 after structural relaxation at the PBE level of DFT.

a = 5.592 Å, b = 5.592 Å, c = 7.366 Å
α = 90.00°, β = 90.00°, γ = 120.00°
Fractional positions:
As (0.000, 0.000, 0.500)
As (0.333, 0.667, 0.236)
Ir (0.000, 0.500, 0.500)
As (0.333, 0.667, 0.764)
Tl (0.000, 0.000, 0.000)
As (0.667, 0.333, 0.236)
As (0.667, 0.333, 0.764)
Ir (0.500, 0.000, 0.500)
Ir (0.500, 0.500, 0.500)

Entry 3:
Computed, not measured: CsTbCu3Te4 after structural relaxation at the PBE level of DFT.

a = 7.009 Å, b = 7.009 Å, c = 7.009 Å
α = 90.00°, β = 90.00°, γ = 90.00°
Fractional positions:
Cu (0.500, 0.500, 0.000)
Te (0.729, 0.271, 0.729)
Cu (0.500, 0.000, 0.500)
Cu (0.000, 0.500, 0.500)
Te (0.271, 0.729, 0.729)
Cs (0.000, 0.000, 0.000)
Te (0.729, 0.729, 0.271)
Te (0.271, 0.271, 0.271)
Tb (0.500, 0.500, 0.500)

Entry 4:
Computed, not measured: Ta2SiTe2 after structural relaxation at the PBE level of DFT.

a = 6.817 Å, b = 6.817 Å, c = 6.817 Å
α = 141.53°, β = 141.53°, γ = 55.53°
Fractional positions:
Te (0.250, 0.750, 0.500)
Si (0.000, 0.000, 0.000)
Ta (0.612, 0.612, 0.000)
Te (0.750, 0.250, 0.500)
Ta (0.388, 0.388, 0.000)

Entry 5:
Computed, not measured: Lu2CuIr after structural relaxation at the PBE level of DFT.

a = 4.676 Å, b = 4.676 Å, c = 4.676 Å
α = 60.00°, β = 60.00°, γ = 60.00°
Fractional positions:
Lu (0.000, 0.000, 0.000)
Cu (0.250, 0.250, 0.250)
Lu (0.750, 0.750, 0.750)
Ir (0.500, 0.500, 0.500)

- energy relative to the elements (eV per atom) = -0.2764

Entry 6:
Computed, not measured: AcNi2Ge after structural relaxation at the PBE level of DFT.

a = 4.163 Å, b = 4.163 Å, c = 5.726 Å
α = 111.33°, β = 111.33°, γ = 59.99°
Fractional positions:
Ge (0.000, 0.000, 0.500)
Ni (0.304, 0.304, 0.412)
Ac (0.500, 0.500, 0.000)
Ni (0.696, 0.696, 0.588)

Entry 7:
Computed, not measured: TaTlP2O8 after structural relaxation at the PBE level of DFT.

a = 4.998 Å, b = 4.998 Å, c = 8.144 Å
α = 92.93°, β = 92.93°, γ = 63.23°
Fractional positions:
O (0.221, 0.221, 0.077)
Ta (0.000, 0.000, 0.000)
O (0.779, 0.779, 0.923)
P (0.640, 0.640, 0.790)
O (0.225, 0.699, 0.168)
O (0.314, 0.314, 0.383)
Tl (0.000, 0.000, 0.500)
O (0.699, 0.225, 0.168)
P (0.360, 0.360, 0.210)
O (0.301, 0.775, 0.832)
O (0.686, 0.686, 0.617)
O (0.775, 0.301, 0.832)

Entry 8:
Computed, not measured: Dy2Sc2CCl2F3 after structural relaxation at the PBE level of DFT.

a = 7.985 Å, b = 7.985 Å, c = 6.864 Å
α = 105.41°, β = 105.41°, γ = 24.66°
Fractional positions:
Sc (0.647, 0.647, 0.078)
F (0.165, 0.165, 0.283)
Cl (0.170, 0.170, 0.805)
Cl (0.830, 0.830, 0.195)
F (0.835, 0.835, 0.717)
F (0.500, 0.500, 0.500)
Sc (0.353, 0.353, 0.922)
Dy (0.988, 0.988, 0.754)
C (0.500, 0.500, 0.000)
Dy (0.012, 0.012, 0.246)

Entry 9:
Computed, not measured: AcSi2Ir after structural relaxation at the PBE level of DFT.

a = 8.892 Å, b = 8.892 Å, c = 4.322 Å
α = 90.00°, β = 90.00°, γ = 150.99°
Fractional positions:
Ac (0.106, 0.894, 0.250)
Ir (0.319, 0.681, 0.250)
Si (0.750, 0.250, 0.250)
Si (0.540, 0.460, 0.750)
Si (0.250, 0.750, 0.750)
Si (0.460, 0.540, 0.250)
Ac (0.894, 0.106, 0.750)
Ir (0.681, 0.319, 0.750)

Entry 10:
Computed, not measured: SmCo after structural relaxation at the PBE level of DFT.

a = 4.225 Å, b = 4.225 Å, c = 6.812 Å
α = 90.00°, β = 90.00°, γ = 120.00°
Fractional positions:
Co (0.333, 0.667, 0.501)
Sm (0.000, 0.000, 0.374)
Sm (0.333, 0.667, 0.874)
Co (0.000, 0.000, 0.001)

- energy relative to the elements (eV per atom) = 0.8359

Entry 11:
Computed, not measured: NaYNiTe3 after structural relaxation at the PBE level of DFT.

a = 8.899 Å, b = 4.193 Å, c = 10.096 Å
α = 90.00°, β = 107.65°, γ = 90.00°
Fractional positions:
Y (0.317, 0.750, 0.851)
Te (0.195, 0.750, 0.523)
Te (0.931, 0.750, 0.149)
Ni (0.902, 0.750, 0.393)
Te (0.805, 0.250, 0.477)
Te (0.438, 0.750, 0.169)
Te (0.562, 0.250, 0.831)
Na (0.218, 0.250, 0.259)
Te (0.069, 0.250, 0.851)
Y (0.683, 0.250, 0.149)
Na (0.782, 0.750, 0.741)
Ni (0.098, 0.250, 0.607)

Entry 12:
Computed, not measured: Li4SbIr2Pb after structural relaxation at the PBE level of DFT.

a = 4.465 Å, b = 4.465 Å, c = 6.341 Å
α = 90.00°, β = 90.00°, γ = 90.00°
Fractional positions:
Li (0.500, 0.500, 0.500)
Ir (0.000, 0.500, 0.268)
Pb (0.500, 0.500, 0.000)
Li (0.000, 0.500, 0.742)
Ir (0.500, 0.000, 0.732)
Li (0.000, 0.000, 0.000)
Sb (0.000, 0.000, 0.500)
Li (0.500, 0.000, 0.258)

| no. | VASP energy (eV per atom) |
| --- | --- |
| 1 | -5.865 |
| 2 | -5.728 |
| 3 | -3.464 |
| 4 | -6.256 |
| 5 | -5.681 |
| 6 | -5.500 |
| 7 | -7.677 |
| 8 | -6.305 |
| 9 | -6.804 |
| 10 | -5.073 |
| 11 | -4.640 |
| 12 | -4.461 |